(1)
BaCrGa2Te: optimized geometry, PBE.

Results
The space group is P4/mmm. For the uncorrected formation energy, the calculation gives 0.601 eV per atom.

Cell: 5.612 6.461 5.612 Å, 90.00 90.00 90.00°
Sites, in units of the cell vectors:
Ga  0.000  0.000  0.500
Ga  0.500  0.000  0.000
Cr  0.500  0.500  0.500
Ba  0.000  0.500  0.000
Te  0.000  0.000  0.000

=====

(2)
Tl2CrAu: optimized geometry, PBE.

Results
The formation energy is 1.52 eV per formula unit. The space group is I4/mmm. As for the polymorph energy (0 for the lowest one): 0.52 eV per formula unit.

Cell: 5.240 5.240 5.240 Å, 126.95 126.95 78.33°
Sites, in units of the cell vectors:
Tl  0.500  0.500  0.000
Au  0.250  0.750  0.500
Tl  0.000  0.000  0.000
Cr  0.750  0.250  0.500

=====

(3)
Cs2NpCl2O4: optimized geometry, PBE.

Results
The space group is I4/mmm. For the uncorrected formation energy, the calculation gives -2.005 eV per atom.

Cell: 7.063 7.063 7.063 Å, 91.69 119.03 119.03°
Sites, in units of the cell vectors:
O  0.633  0.816  0.816
Cl  0.000  0.723  0.723
O  0.000  0.816  0.184
Cs  0.500  0.250  0.750
O  0.367  0.184  0.184
O  0.000  0.184  0.816
Cs  0.500  0.750  0.250
Np  0.000  0.000  0.000
Cl  0.000  0.277  0.277

=====

(4)
MgRe2Hg: optimized geometry, PBE.

Results
The formation energy is 2.05 eV per formula unit. The space group is Imm2. As for the polymorph energy (0 for the lowest one): 1.30 eV per formula unit.

Cell: 4.571 4.571 4.571 Å, 122.48 118.29 89.37°
Sites, in units of the cell vectors:
Hg  0.500  0.500  0.000
Re  0.015  0.015  0.000
Mg  0.754  0.254  0.500
Re  0.232  0.732  0.500

=====

(5)
Nd4Zn3Pb: optimized geometry, PBE.

Results
The formation energy is -2.86 eV per formula unit. The space group is P4/mmm.

Cell: 5.289 7.613 10.574 Å, 90.00 90.00 90.00°
Sites, in units of the cell vectors:
Nd  0.000  0.764  0.750
Nd  0.500  0.236  0.000
Pb  0.000  0.500  0.500
Zn  0.499  0.000  0.250
Nd  0.000  0.764  0.250
Pb  0.000  0.500  0.000
Nd  0.500  0.236  0.500
Nd  0.000  0.236  0.250
Zn  0.500  0.500  0.750
Zn  0.501  0.000  0.750
Zn  0.000  0.000  0.500
Nd  0.500  0.764  0.000
Nd  0.000  0.236  0.750
Zn  0.000  0.000  0.000
Nd  0.500  0.764  0.500
Zn  0.500  0.500  0.250

=====

(6)
PrZrSn2: optimized geometry, PBE.

Results
The formation energy is -1.90 eV per formula unit. The space group is R-3m. As for the polymorph energy (0 for the lowest one): 0.10 eV per formula unit.

Cell: 4.305 4.305 7.629 Å, 73.61 73.61 60.00°
Sites, in units of the cell vectors:
Zr  0.000  0.000  0.000
Pr  0.500  0.500  0.500
Sn  0.740  0.740  0.779
Sn  0.260  0.260  0.221

=====

Across the entries above, DOS at the Fermi energy takes the values 3.81; 1.82; 6.92; 1.41; 8.36; 2.56 states/eV/f.u., respectively.